! TcSbRh2, relaxed, DFT PBE; values from VASP
! Formation energy without anion corrections, eV/atom: 0.00
! Symmetry: Pmmm, No. 47
! DOS(E_F), states/eV/cell: 4.1
&SYSTEM
  ibrav = 0, nat = 4, ntyp = 3
/
ATOMIC_SPECIES
Tc 98.00 Tc.upf
Sb 121.76 Sb.upf
Rh 102.91 Rh.upf
ATOMIC_POSITIONS angstrom
Tc 0.000 0.000 0.000
Sb 0.000 0.000 2.793
Rh 1.468 1.943 1.307
Rh 1.468 1.943 4.279
CELL_PARAMETERS angstrom
2.936 0.000 0.000
0.000 3.885 0.000
0.000 0.000 5.586